Record 1
# SbTeO2

A geometry-optimized SbTeO2 structure (PBE, Alexandria).

It has space group R-3m (No. 166, hexagonal axes), with a = 3.2489 Å, b = 3.2489 Å, c = 22.6737 Å, α = 90.00°, β = 90.00° and γ = 120.00°. The inequivalent atoms are Sb at (0.0000, 0.0000, 0.0000), Te at (0.0000, 0.0000, 0.5000) and O at (0.0000, 0.0000, 0.0946).

For the energy relative to the lowest polymorph listed for this composition, the calculation gives 322 meV/atom.


Record 2
# SbTe2O

A geometry-optimized SbTe2O structure (PBE, Alexandria).

It has space group R-3m (No. 166, hexagonal axes), with a = 4.1452 Å, b = 4.1452 Å, c = 24.0706 Å, α = 90.00°, β = 90.00° and γ = 120.00°. The inequivalent atoms are Sb at (0.0000, 0.0000, 0.0000), Te at (0.0000, 0.0000, 0.4155) and O at (0.0000, 0.0000, 0.5000).

For the energy relative to the lowest polymorph listed for this composition, the calculation gives 0 meV/atom.


Record 3
# SbTeO3

A geometry-optimized SbTeO3 structure (PBE, Alexandria).

It has space group Pm-3m (No. 221), with a = 4.2138 Å, b = 4.2138 Å, c = 4.2138 Å, α = 90.00°, β = 90.00° and γ = 90.00°. The inequivalent atoms are Sb at (0.0000, 0.0000, 0.0000), Te at (0.5000, 0.5000, 0.5000) and O at (0.0000, 0.5000, 0.5000).

The calculation puts the electronic total energy at -4.80 eV/atom.


Record 4
# TiSb2TeO

A geometry-optimized TiSb2TeO structure (PBE, Alexandria).

It has space group P4/mmm (No. 123), with a = 4.6555 Å, b = 4.6555 Å, c = 4.8979 Å, α = 90.00°, β = 90.00° and γ = 90.00°. The inequivalent atoms are Ti at (0.0000, 0.0000, 0.0000), Sb at (0.0000, 0.5000, 0.5000), Te at (0.5000, 0.5000, 0.0000) and O at (0.5000, 0.5000, 0.5000).

For the energy relative to the lowest polymorph listed for this composition, the calculation gives 0 meV/atom.


Record 5
# TiSb2TeO

A geometry-optimized TiSb2TeO structure (PBE, Alexandria).

It has space group P4/mmm (No. 123), with a = 5.1774 Å, b = 5.1774 Å, c = 5.0860 Å, α = 90.00°, β = 90.00° and γ = 90.00°. The inequivalent atoms are Ti at (0.0000, 0.0000, 0.0000), Sb at (0.0000, 0.5000, 0.0000), Te at (0.0000, 0.0000, 0.5000) and O at (0.5000, 0.5000, 0.5000).

For the energy relative to the lowest polymorph listed for this composition, the calculation gives 465 meV/atom.


Record 6
# Tl2SbTe2O6

A geometry-optimized Tl2SbTe2O6 structure (PBE, Alexandria).

It has space group C2/m (No. 12), with a = 9.5413 Å, b = 6.9641 Å, c = 6.5693 Å, α = 90.00°, β = 111.12° and γ = 90.00°. The inequivalent atoms are Tl at (0.1969, 0.0000, 0.1120), Sb at (0.0000, 0.0000, 0.5000), Te at (0.0729, 0.5000, 0.3135), O at (0.0388, 0.1951, 0.2977) and O at (0.2252, 0.0000, 0.7080).

The calculation puts the electronic total energy at -4.99 eV/atom.


Record 7
# TlSb2TeO

A geometry-optimized TlSb2TeO structure (PBE, Alexandria).

It has space group P4/mmm (No. 123), with a = 5.7226 Å, b = 5.7226 Å, c = 5.6722 Å, α = 90.00°, β = 90.00° and γ = 90.00°. The inequivalent atoms are Tl at (0.0000, 0.0000, 0.0000), Sb at (0.0000, 0.5000, 0.0000), Te at (0.0000, 0.0000, 0.5000) and O at (0.5000, 0.5000, 0.5000).

For the energy relative to the lowest polymorph listed for this composition, the calculation gives 1371 meV/atom.


Record 8
# Tl2SbTeO6

A geometry-optimized Tl2SbTeO6 structure (PBE, Alexandria).

It has space group I4/mmm (No. 139), with a = 5.8657 Å, b = 5.8657 Å, c = 8.3092 Å, α = 90.00°, β = 90.00° and γ = 90.00°. The inequivalent atoms are Tl at (0.0000, 0.5000, 0.2500), Sb at (0.0000, 0.0000, 0.0000), Te at (0.0000, 0.0000, 0.5000), O at (0.0000, 0.0000, 0.2502) and O at (0.2503, 0.2503, 0.0000).

The calculation puts the electronic total energy at -5.06 eV/atom.